Na3Mn2Ge3O12 | PBE with a Hubbard U | relaxed

Computed properties:
crystal system = cubic
calculated total energy = -491.23 eV for the cell shown
calculated density = 4.2 g/cm³

a = 10.624 Å, b = 10.623 Å, c = 10.624 Å
α = 109.47°, β = 109.47°, γ = 109.47°
Last column: magnetic moment on the atom in μB.
Positions (direct):
Na (0.625, 0.250, 0.875)  0.00
Na (0.875, 0.750, 0.625)  0.00
Na (0.750, 0.625, 0.875)  0.00
Na (0.250, 0.875, 0.625)  0.00
Na (0.875, 0.625, 0.250)  0.00
Na (0.625, 0.875, 0.750)  0.00
Na (0.375, 0.750, 0.125)  0.00
Na (0.125, 0.250, 0.375)  0.00
Na (0.250, 0.375, 0.125)  0.00
Na (0.750, 0.125, 0.375)  0.00
Na (0.125, 0.375, 0.750)  0.00
Na (0.375, 0.125, 0.250)  0.00
Mn (0.500, 0.500, 0.500)  3.21
Mn (0.500, 0.500, 0.000)  3.21
Mn (0.500, 0.000, 0.500)  3.21
Mn (0.000, 0.500, 0.500)  3.21
Mn (0.500, 0.000, 0.000)  3.21
Mn (0.000, 0.000, 0.500)  3.21
Mn (0.000, 0.500, 0.000)  3.21
Mn (0.000, 0.000, 0.000)  3.21
Ge (0.875, 0.125, 0.750)  0.02
Ge (0.125, 0.875, 0.250)  0.02
Ge (0.250, 0.625, 0.375)  0.02
Ge (0.125, 0.750, 0.875)  0.02
Ge (0.750, 0.875, 0.125)  0.02
Ge (0.375, 0.250, 0.625)  0.02
Ge (0.625, 0.750, 0.375)  0.02
Ge (0.875, 0.250, 0.125)  0.02
Ge (0.250, 0.125, 0.875)  0.02
Ge (0.750, 0.375, 0.625)  0.02
Ge (0.375, 0.625, 0.750)  0.02
Ge (0.625, 0.375, 0.250)  0.02
O (0.805, 0.418, 0.819)  -0.12
O (0.082, 0.887, 0.400)  -0.12
O (0.681, 0.099, 0.987)  -0.12
O (0.695, 0.513, 0.613)  -0.12
O (0.695, 0.681, 0.082)  -0.12
O (0.513, 0.613, 0.695)  -0.12
O (0.100, 0.613, 0.418)  -0.12
O (0.613, 0.695, 0.513)  -0.12
O (0.401, 0.819, 0.513)  -0.12
O (0.887, 0.987, 0.805)  -0.12
O (0.987, 0.805, 0.887)  -0.12
O (0.082, 0.695, 0.681)  -0.12
O (0.613, 0.418, 0.099)  -0.12
O (0.513, 0.400, 0.819)  -0.12
O (0.681, 0.082, 0.695)  -0.12
O (0.418, 0.099, 0.613)  -0.12
O (0.819, 0.513, 0.400)  -0.12
O (0.401, 0.082, 0.887)  -0.12
O (0.100, 0.987, 0.681)  -0.12
O (0.599, 0.181, 0.487)  -0.12
O (0.987, 0.681, 0.099)  -0.12
O (0.819, 0.806, 0.418)  -0.12
O (0.887, 0.401, 0.082)  -0.12
O (0.805, 0.887, 0.987)  -0.12
O (0.195, 0.582, 0.181)  -0.12
O (0.918, 0.113, 0.600)  -0.12
O (0.319, 0.901, 0.013)  -0.12
O (0.305, 0.487, 0.387)  -0.12
O (0.305, 0.319, 0.918)  -0.12
O (0.487, 0.387, 0.305)  -0.12
O (0.900, 0.387, 0.582)  -0.12
O (0.387, 0.305, 0.487)  -0.12
O (0.195, 0.113, 0.013)  -0.12
O (0.113, 0.599, 0.918)  -0.12
O (0.181, 0.194, 0.582)  -0.12
O (0.582, 0.181, 0.195)  -0.12
O (0.013, 0.319, 0.901)  -0.12
O (0.900, 0.013, 0.319)  -0.12
O (0.599, 0.918, 0.113)  -0.12
O (0.181, 0.487, 0.600)  -0.12
O (0.582, 0.901, 0.387)  -0.12
O (0.319, 0.918, 0.305)  -0.12
O (0.487, 0.600, 0.181)  -0.12
O (0.387, 0.582, 0.901)  -0.12
O (0.918, 0.305, 0.319)  -0.12
O (0.013, 0.195, 0.113)  -0.12
O (0.113, 0.013, 0.195)  -0.12
O (0.418, 0.819, 0.805)  -0.12